DFT (PBE-GGA) results for a relaxed structure of AcCeLuMg.

Results
energy of formation from the pure elements = 119 meV per atom
space group = No. 216

Lattice parameters (Å, degrees): 8.043 8.043 8.043 90.00 90.00 90.00
Sites, in units of the cell vectors:
Ac1 0.000 0.000 0.000
Ac2 0.000 0.500 0.500
Ac3 0.500 0.000 0.500
Ac4 0.500 0.500 0.000
Ce1 0.000 0.000 0.500
Ce2 0.000 0.500 0.000
Ce3 0.500 0.000 0.000
Ce4 0.500 0.500 0.500
Lu1 0.250 0.250 0.250
Lu2 0.250 0.750 0.750
Lu3 0.750 0.250 0.750
Lu4 0.750 0.750 0.250
Mg1 0.250 0.250 0.750
Mg2 0.250 0.750 0.250
Mg3 0.750 0.250 0.250
Mg4 0.750 0.750 0.750


DFT (PBE-GGA) results for a relaxed structure of AcCePrLu.

Results
energy of formation from the pure elements = 219 meV per atom
space group = No. 216

Lattice parameters (Å, degrees): 8.298 8.298 8.298 90.00 90.00 90.00
Sites, in units of the cell vectors:
Ac1 0.000 0.000 0.000
Ac2 0.000 0.500 0.500
Ac3 0.500 0.000 0.500
Ac4 0.500 0.500 0.000
Ce1 0.250 0.250 0.750
Ce2 0.250 0.750 0.250
Ce3 0.750 0.250 0.250
Ce4 0.750 0.750 0.750
Pr1 0.000 0.000 0.500
Pr2 0.000 0.500 0.000
Pr3 0.500 0.000 0.000
Pr4 0.500 0.500 0.500
Lu1 0.250 0.250 0.250
Lu2 0.250 0.750 0.750
Lu3 0.750 0.250 0.750
Lu4 0.750 0.750 0.250


DFT (PBE-GGA) results for a relaxed structure of AcCeLuSc.

Results
energy of formation from the pure elements = 158 meV per atom
space group = No. 216

Lattice parameters (Å, degrees): 8.016 8.016 8.016 90.00 90.00 90.00
Sites, in units of the cell vectors:
Ac1 0.000 0.000 0.000
Ac2 0.000 0.500 0.500
Ac3 0.500 0.000 0.500
Ac4 0.500 0.500 0.000
Ce1 0.000 0.000 0.500
Ce2 0.000 0.500 0.000
Ce3 0.500 0.000 0.000
Ce4 0.500 0.500 0.500
Lu1 0.250 0.250 0.750
Lu2 0.250 0.750 0.250
Lu3 0.750 0.250 0.250
Lu4 0.750 0.750 0.750
Sc1 0.250 0.250 0.250
Sc2 0.250 0.750 0.750
Sc3 0.750 0.250 0.750
Sc4 0.750 0.750 0.250


DFT (PBE-GGA) results for a relaxed structure of AcCeLuSn.

Results
energy of formation from the pure elements = -93 meV per atom
space group = No. 216

Lattice parameters (Å, degrees): 7.846 7.846 7.846 90.00 90.00 90.00
Sites, in units of the cell vectors:
Ac1 0.000 0.000 0.000
Ac2 0.000 0.500 0.500
Ac3 0.500 0.000 0.500
Ac4 0.500 0.500 0.000
Ce1 0.250 0.250 0.750
Ce2 0.250 0.750 0.250
Ce3 0.750 0.250 0.250
Ce4 0.750 0.750 0.750
Lu1 0.250 0.250 0.250
Lu2 0.250 0.750 0.750
Lu3 0.750 0.250 0.750
Lu4 0.750 0.750 0.250
Sn1 0.000 0.000 0.500
Sn2 0.000 0.500 0.000
Sn3 0.500 0.000 0.000
Sn4 0.500 0.500 0.500


DFT (PBE-GGA) results for a relaxed structure of AcCeLuTh.

Results
energy of formation from the pure elements = 235 meV per atom
space group = No. 216

Lattice parameters (Å, degrees): 8.139 8.139 8.139 90.00 90.00 90.00
Sites, in units of the cell vectors:
Ac1 0.000 0.000 0.000
Ac2 0.000 0.500 0.500
Ac3 0.500 0.000 0.500
Ac4 0.500 0.500 0.000
Ce1 0.250 0.250 0.750
Ce2 0.250 0.750 0.250
Ce3 0.750 0.250 0.250
Ce4 0.750 0.750 0.750
Lu1 0.250 0.250 0.250
Lu2 0.250 0.750 0.750
Lu3 0.750 0.250 0.750
Lu4 0.750 0.750 0.250
Th1 0.000 0.000 0.500
Th2 0.000 0.500 0.000
Th3 0.500 0.000 0.000
Th4 0.500 0.500 0.500


DFT (PBE-GGA) results for a relaxed structure of AcCeLuTl.

Results
energy of formation from the pure elements = 97 meV per atom
space group = No. 216

Lattice parameters (Å, degrees): 7.917 7.917 7.917 90.00 90.00 90.00
Sites, in units of the cell vectors:
Ac1 0.000 0.000 0.000
Ac2 0.000 0.500 0.500
Ac3 0.500 0.000 0.500
Ac4 0.500 0.500 0.000
Ce1 0.250 0.250 0.750
Ce2 0.250 0.750 0.250
Ce3 0.750 0.250 0.250
Ce4 0.750 0.750 0.750
Lu1 0.250 0.250 0.250
Lu2 0.250 0.750 0.750
Lu3 0.750 0.250 0.750
Lu4 0.750 0.750 0.250
Tl1 0.000 0.000 0.500
Tl2 0.000 0.500 0.000
Tl3 0.500 0.000 0.000
Tl4 0.500 0.500 0.500


DFT (PBE-GGA) results for a relaxed structure of AcCeYLu.

Results
energy of formation from the pure elements = 168 meV per atom
space group = No. 216

Lattice parameters (Å, degrees): 8.213 8.213 8.213 90.00 90.00 90.00
Sites, in units of the cell vectors:
Ac1 0.000 0.000 0.000
Ac2 0.000 0.500 0.500
Ac3 0.500 0.000 0.500
Ac4 0.500 0.500 0.000
Ce1 0.000 0.000 0.500
Ce2 0.000 0.500 0.000
Ce3 0.500 0.000 0.000
Ce4 0.500 0.500 0.500
Y1 0.250 0.250 0.250
Y2 0.250 0.750 0.750
Y3 0.750 0.250 0.750
Y4 0.750 0.750 0.250
Lu1 0.250 0.250 0.750
Lu2 0.250 0.750 0.250
Lu3 0.750 0.250 0.250
Lu4 0.750 0.750 0.750


DFT (PBE-GGA) results for a relaxed structure of AcCeMg4.

Results
energy of formation from the pure elements = -40 meV per atom
space group = No. 216

Lattice parameters (Å, degrees): 6.223 6.223 6.223 60.00 60.00 60.00
Sites, in units of the cell vectors:
Ac1 0.000 0.000 0.000
Ce1 0.750 0.750 0.750
Mg1 0.376 0.376 0.376
Mg2 0.376 0.376 0.873
Mg3 0.376 0.873 0.376
Mg4 0.873 0.376 0.376


For each record above, in turn, the calculated Fermi-level density of states values are 9.25 12.13 7.96 10.23 13.49 9.74 8.99 10.69 states/eV/f.u..